No. 1
Density functional theory data (PBE) for an optimized crystal structure of CdNiAs2.

Cell lengths 5.1670, 5.1670, 5.1670 Å; angles 133.81, 133.81, 67.38 degrees
Closest atoms and distances in Å follow each position.
Positions (direct):
1 Cd 0.0000 0.0000 0.0000  8 As 2.87-2.95, 4 Ni 2.95
2 Ni 0.2500 0.7500 0.5000  8 As 2.87-2.95, 4 Cd 2.95
3 As 0.5000 0.5000 0.0000  4 Cd 2.87, 4 As 2.95, 4 Ni 2.95
4 As 0.7500 0.2500 0.5000  4 Ni 2.87, 4 As 2.95, 4 Cd 2.95

---

No. 2
Density functional theory data (PBE) for an optimized crystal structure of CdNiAs3.

Properties
- E above lowest polymorph: 0 meV per atom

Cell lengths 4.6992, 4.6992, 4.6992 Å; angles 90.00, 90.00, 90.00 degrees
Closest atoms and distances in Å follow each position.
Positions (direct):
1 Cd 0.0000 0.0000 0.0000  12 As 3.32
2 Ni 0.5000 0.5000 0.5000  6 As 2.35
3 As 0.0000 0.5000 0.5000  2 Ni 2.35
4 As 0.5000 0.0000 0.5000  2 Ni 2.35
5 As 0.5000 0.5000 0.0000  2 Ni 2.35

---

No. 3
Density functional theory data (PBE) for an optimized crystal structure of CdNiAs2.

Cell lengths 3.8125, 3.1314, 6.4214 Å; angles 90.00, 106.36, 90.00 degrees
Closest atoms and distances in Å follow each position.
Positions (direct):
1 Cd 0.0000 0.0000 0.0000  2 Ni 2.76, 4 As 2.90-2.91
2 Ni 0.8272 0.5000 0.6314  5 As 2.35-2.49
3 As 0.3034 0.0000 0.5862  4 Ni 2.48-2.49
4 As 0.6210 0.5000 0.2500  1 Ni 2.35

---

No. 4
Density functional theory data (PBE) for an optimized crystal structure of Cd2NiAs.

Cell lengths 4.8802, 3.0888, 5.1711 Å; angles 90.00, 111.15, 90.00 degrees
Closest atoms and distances in Å follow each position.
Positions (direct):
1 Cd 0.0000 0.0000 0.0000  2 As 2.84, 6 Cd 2.89-3.09, 4 Ni 3.01
2 Cd 0.5000 0.5000 0.0000  2 Ni 2.84, 6 Cd 2.89-3.09, 4 As 3.01
3 Ni 0.0000 0.5000 0.5000  6 Cd 2.84-3.01, 4 As 2.89, 2 Ni 3.09
4 As 0.5000 0.0000 0.5000  6 Cd 2.84-3.01, 4 Ni 2.89, 2 As 3.09

---

No. 5
Density functional theory data (PBE) for an optimized crystal structure of CdNiAs2.

Cell lengths 4.5350, 4.5350, 3.5855 Å; angles 90.00, 90.00, 104.92 degrees
Closest atoms and distances in Å follow each position.
Positions (direct):
1 Cd 0.0000 0.0000 0.0000  2 Ni 2.76, 8 As 2.89
2 Ni 0.5000 0.5000 0.0000  2 Cd 2.76, 8 As 2.89
3 As 0.0000 0.5000 0.5000  2 As 2.76, 4 Cd 2.89, 4 Ni 2.89
4 As 0.5000 0.0000 0.5000  2 As 2.76, 4 Cd 2.89, 4 Ni 2.89

---

No. 6
Density functional theory data (PBE) for an optimized crystal structure of Cd2NiAs.

Cell lengths 2.9568, 2.9568, 8.4596 Å; angles 90.00, 90.00, 90.00 degrees
Closest atoms and distances in Å follow each position.
Positions (direct):
1 Cd 0.0000 0.0000 0.2080  4 Ni 2.73, 4 Cd 2.96
2 Cd 0.0000 0.0000 0.7920  4 Ni 2.73, 4 Cd 2.96
3 Ni 0.5000 0.5000 0.0000  8 Cd 2.73, 4 Ni 2.96
4 As 0.5000 0.5000 0.5000  4 As 2.96, 8 Cd 3.24

---

No. 7
Density functional theory data (PBE) for an optimized crystal structure of Cd2Ni3As.

Cell lengths 5.2066, 5.2066, 7.4868 Å; angles 90.00, 90.00, 120.00 degrees
Closest atoms and distances in Å follow each position.
Positions (direct):
1 Cd 0.3333 0.6667 0.0630  9 Ni 2.77-2.96, 1 Cd 2.80, 3 As 3.04
2 Cd 0.3333 0.6667 0.4370  9 Ni 2.77-2.96, 1 Cd 2.80, 3 As 3.04
3 Cd 0.6667 0.3333 0.5630  9 Ni 2.77-2.96, 1 Cd 2.80, 3 As 3.04
4 Cd 0.6667 0.3333 0.9370  9 Ni 2.77-2.96, 1 Cd 2.80, 3 As 3.04
5 Ni 0.1687 0.3373 0.7500  2 As 2.41, 4 Ni 2.57-2.63
6 Ni 0.1687 0.8313 0.7500  2 As 2.41, 4 Ni 2.57-2.63
7 Ni 0.3373 0.1687 0.2500  2 As 2.41, 4 Ni 2.57-2.63
8 Ni 0.6627 0.8313 0.7500  2 As 2.41, 4 Ni 2.57-2.63
9 Ni 0.8313 0.1687 0.2500  2 As 2.41, 4 Ni 2.57-2.63
10 Ni 0.8313 0.6627 0.2500  2 As 2.41, 4 Ni 2.57-2.63
11 As 0.0000 0.0000 0.0000  6 Ni 2.41
12 As 0.0000 0.0000 0.5000  6 Ni 2.41

---

No. 8
Density functional theory data (PBE) for an optimized crystal structure of Cd2NiAs.

Cell lengths 3.0325, 6.3872, 6.3872 Å; angles 38.70, 90.00, 90.00 degrees
Closest atoms and distances in Å follow each position.
Positions (direct):
1 Cd 0.0000 0.0000 0.0000  1 Ni 2.71
2 Cd 0.5000 0.3348 0.3348  4 Ni 2.70
3 Ni 0.0000 0.7754 0.7754  2 As 2.33
4 As 0.5000 0.6291 0.6291  2 Ni 2.33

---

No. 9
Density functional theory data (PBE) for an optimized crystal structure of CdNiAs2.

Cell lengths 6.0758, 6.0758, 6.0758 Å; angles 152.26, 134.78, 53.88 degrees
Closest atoms and distances in Å follow each position.
Positions (direct):
1 Cd 0.0000 0.0000 0.0000  4 Ni 2.75, 2 Cd 2.91, 4 As 3.05
2 Ni 0.5000 0.5000 0.0000  4 As 2.44
3 As 0.3191 0.8191 0.5000  2 Ni 2.44
4 As 0.6809 0.1809 0.5000  2 Ni 2.44

---

No. 10
Density functional theory data (PBE) for an optimized crystal structure of Cd2NiAs.

Cell lengths 3.0326, 3.0326, 8.1383 Å; angles 90.00, 90.00, 90.00 degrees
Closest atoms and distances in Å follow each position.
Positions (direct):
1 Cd 0.0000 0.0000 0.0000  8 Cd 3.03-3.20
2 Cd 0.5000 0.5000 0.2920  4 Ni 2.87, 8 Cd 3.03-3.20, 1 As 3.12
3 Ni 0.0000 0.0000 0.5262  4 As 2.46
4 As 0.5000 0.5000 0.6749  4 Ni 2.46

---

No. 11
Density functional theory data (PBE) for an optimized crystal structure of CdNiAs2.

Cell lengths 2.8579, 3.6951, 7.5042 Å; angles 90.00, 90.00, 90.00 degrees
Closest atoms and distances in Å follow each position.
Positions (direct):
1 Cd 0.0000 0.0000 0.0000  5 As 2.70-2.90, 2 Cd 2.86
2 Ni 0.5000 0.5000 0.4606  5 As 2.33-2.45
3 As 0.0000 0.0000 0.3602  4 Ni 2.45, 1 Cd 2.70
4 As 0.5000 0.5000 0.7708  1 Ni 2.33

---

No. 12
Density functional theory data (PBE) for an optimized crystal structure of Cd3NiAs.

Properties
- E above lowest polymorph: 0 meV per atom

Cell lengths 4.9032, 4.9032, 4.9032 Å; angles 90.00, 90.00, 90.00 degrees
Closest atoms and distances in Å follow each position.
Positions (direct):
1 Cd 0.0000 0.0000 0.5000  2 Ni 2.45
2 Cd 0.0000 0.5000 0.0000  2 Ni 2.45
3 Cd 0.5000 0.0000 0.0000  2 Ni 2.45
4 Ni 0.0000 0.0000 0.0000  6 Cd 2.45
5 As 0.5000 0.5000 0.5000  12 Cd 3.47

---

No. 13
Density functional theory data (PBE) for an optimized crystal structure of CdNiAs2.

Cell lengths 4.9312, 4.9312, 4.9312 Å; angles 128.90, 128.90, 75.17 degrees
Closest atoms and distances in Å follow each position.
Positions (direct):
1 Cd 0.0000 0.0000 0.0000  8 As 2.89, 4 Ni 3.01
2 Ni 0.5000 0.5000 0.0000  8 As 2.89, 4 Cd 3.01
3 As 0.2500 0.7500 0.5000  4 Cd 2.89, 4 Ni 2.89, 4 As 3.01
4 As 0.7500 0.2500 0.5000  4 Cd 2.89, 4 Ni 2.89, 4 As 3.01

---

No. 14
Density functional theory data (PBE) for an optimized crystal structure of Cd2NiAs.

Cell lengths 5.1753, 5.1753, 5.1753 Å; angles 133.42, 133.42, 67.99 degrees
Closest atoms and distances in Å follow each position.
Positions (direct):
1 Cd 0.2500 0.7500 0.5000  4 Cd 2.89, 4 As 2.96, 4 Ni 2.96
2 Cd 0.7500 0.2500 0.5000  4 Cd 2.89, 4 As 2.96, 4 Ni 2.96
3 Ni 0.0000 0.0000 0.0000  4 As 2.89, 8 Cd 2.96
4 As 0.5000 0.5000 0.0000  4 Ni 2.89, 8 Cd 2.96

---

No. 15
Density functional theory data (PBE) for an optimized crystal structure of Cd2NiAs.

Cell lengths 7.1423, 7.1423, 7.1423 Å; angles 155.60, 149.42, 39.51 degrees
Closest atoms and distances in Å follow each position.
Positions (direct):
1 Cd 0.1796 0.1796 0.0000  2 Ni 2.85, 6 Cd 3.02-3.07, 2 As 3.06
2 Cd 0.8204 0.8204 0.0000  2 Ni 2.85, 6 Cd 3.02-3.07, 2 As 3.06
3 Ni 0.0000 0.5000 0.5000  4 As 2.41
4 As 0.5000 0.0000 0.5000  4 Ni 2.41

---

No. 16
Density functional theory data (PBE) for an optimized crystal structure of CdNiAs2.

Cell lengths 4.6785, 3.8022, 4.7997 Å; angles 90.00, 113.42, 90.00 degrees
Closest atoms and distances in Å follow each position.
Positions (direct):
1 Cd 0.0000 0.0000 0.0000  2 Ni 2.60
2 Ni 0.5000 0.0000 0.5000  4 As 2.35, 2 Cd 2.60
3 As 0.3104 0.5000 0.6607  2 Ni 2.35
4 As 0.6896 0.5000 0.3393  2 Ni 2.35

---

No. 17
Density functional theory data (PBE) for an optimized crystal structure of Cd2NiAs.

Cell lengths 6.4588, 6.4588, 6.4588 Å; angles 153.94, 138.89, 49.32 degrees
Closest atoms and distances in Å follow each position.
Positions (direct):
1 Cd 0.0000 0.0000 0.0000  4 Ni 2.71, 2 Cd 2.91
2 Cd 0.6813 0.1813 0.5000  2 Ni 2.81, 4 Cd 2.91-3.11, 4 As 3.12
3 Ni 0.4770 0.4770 0.0000  2 As 2.39
4 As 0.3160 0.8160 0.5000  2 Ni 2.39

---

No. 18
Density functional theory data (PBE) for an optimized crystal structure of CdNiAs2.

Cell lengths 4.6627, 4.6627, 4.6627 Å; angles 60.00, 60.00, 60.00 degrees
Closest atoms and distances in Å follow each position.
Positions (direct):
1 Cd 0.0000 0.0000 0.0000  4 As 2.86, 4 Ni 2.86
2 Ni 0.2500 0.2500 0.2500  4 Cd 2.86, 4 As 2.86
3 As 0.5000 0.5000 0.5000  4 As 2.86, 4 Ni 2.86
4 As 0.7500 0.7500 0.7500  4 Cd 2.86, 4 As 2.86

---

No. 19
Density functional theory data (PBE) for an optimized crystal structure of Cd2NiAs.

Cell lengths 5.1872, 5.1872, 5.1872 Å; angles 133.52, 133.52, 67.83 degrees
Closest atoms and distances in Å follow each position.
Positions (direct):
1 Cd 0.0000 0.0000 0.0000  4 As 2.89, 4 Cd 2.97, 4 Ni 2.97
2 Cd 0.7500 0.2500 0.5000  4 Ni 2.89, 4 Cd 2.97, 4 As 2.97
3 Ni 0.2500 0.7500 0.5000  8 Cd 2.89-2.97, 4 As 2.97
4 As 0.5000 0.5000 0.0000  8 Cd 2.89-2.97, 4 Ni 2.97

---

No. 20
Density functional theory data (PBE) for an optimized crystal structure of CdNiAs2.

Cell lengths 7.0085, 7.0085, 7.0085 Å; angles 155.83, 147.96, 40.54 degrees
Closest atoms and distances in Å follow each position.
Positions (direct):
1 Cd 0.0000 0.0000 0.0000  6 As 2.93-2.98, 2 Cd 2.94, 2 Ni 3.27
2 Ni 0.2221 0.7221 0.5000  6 As 2.42-2.53
3 As 0.3681 0.3681 0.0000  2 Ni 2.42
4 As 0.6676 0.1676 0.5000  4 Ni 2.53

---

| no. | density of states at the Fermi level (states/eV per cell) | energy of formation (eV per formula unit) |
| --- | --- | --- |
| 1 | 2.47 | 1.2 |
| 2 | 4.59 | 1.9 |
| 3 | 2.57 | 0.3 |
| 4 | 1.64 | 0.9 |
| 5 | 2.51 | 1.0 |
| 6 | 1.70 | 0.5 |
| 7 | 7.53 | -0.8 |
| 8 | 1.65 | -0.1 |
| 9 | 1.96 | 0.1 |
| 10 | 1.38 | -0.1 |
| 11 | 1.60 | 0.1 |
| 12 | 3.26 | 2.1 |
| 13 | 2.29 | 1.1 |
| 14 | 1.40 | 0.7 |
| 15 | 1.97 | -0.1 |
| 16 | 1.47 | -0.1 |
| 17 | 1.46 | -0.2 |
| 18 | 2.32 | 1.5 |
| 19 | 2.79 | 0.7 |
| 20 | 1.96 | 0.1 |